# 1
Material: ErScCuSi
Method: DFT, PBE-GGA
State: optimized geometry Values from VASP.

Structure (Quantum ESPRESSO input):
```
&SYSTEM
  ibrav = 0, nat = 4, ntyp = 4
/
ATOMIC_SPECIES
Er 167.26 Er.upf
Sc 44.96 Sc.upf
Cu 63.55 Cu.upf
Si 28.09 Si.upf
CELL_PARAMETERS angstrom
0.000 3.361 3.361
3.361 0.000 3.361
3.361 3.361 0.000
ATOMIC_POSITIONS crystal
Er 0.000 0.000 0.000
Sc 0.500 0.500 0.500
Cu 0.750 0.750 0.750
Si 0.250 0.250 0.250
```

Energy relative to the elements, uncorrected = -0.447 eV/atom
Space group = F-43m (216)
Total DFT energy (no corrections) = -5.55 eV/atom
Density = 6.6 g/cm3

# 2
Material: TlZn2Au10
Method: DFT, PBE-GGA
State: optimized geometry Values from VASP.

Structure (Quantum ESPRESSO input):
```
&SYSTEM
  ibrav = 0, nat = 13, ntyp = 3
/
ATOMIC_SPECIES
Tl 204.38 Tl.upf
Zn 65.41 Zn.upf
Au 196.97 Au.upf
CELL_PARAMETERS angstrom
0.000 6.566 6.636
2.864 0.000 6.636
2.864 6.566 0.000
ATOMIC_POSITIONS crystal
Tl 0.000 0.000 0.000
Zn 0.000 0.000 0.500
Zn 0.500 0.500 0.000
Au 0.000 0.500 0.000
Au 0.010 0.661 0.339
Au 0.278 0.508 0.492
Au 0.339 0.990 0.010
Au 0.492 0.722 0.278
Au 0.500 0.000 0.500
Au 0.508 0.278 0.722
Au 0.661 0.010 0.990
Au 0.722 0.492 0.508
Au 0.990 0.339 0.661
```

Space group = Fmmm (69)
Total DFT energy (no corrections) = -2.94 eV/atom
Density = 15.3 g/cm3